Compound: NaSrBr
Source: Alexandria via LeMat-Bulk
Functional: PBE-GGA
Structure: optimized geometry

Output
DFT total energy (Ry per atom): -0.185
Magnetic moment (μB/atom): 0.000
Polymorph energy (0 for the lowest one) (meV/atom): 4.6
Formation energy without anion corrections (kJ per mole of atoms): -92.5

a b c (Å): 5.5695 14.6005 5.3507
angles (deg): 90.00 90.00 90.00
Last column: nearest neighbours and their distance in Å.
Sites, in units of the cell vectors:
Na 0.5000 0.4323 0.2500  2 Na 3.33, 2 Br 3.71
Na 0.0000 0.9323 0.2500  2 Na 3.33, 2 Br 3.71
Na 0.0000 0.0677 0.7500  2 Na 3.33, 2 Br 3.71
Na 0.5000 0.5677 0.7500  2 Na 3.33, 2 Br 3.71
Br 0.0000 0.2440 0.2500  4 Sr 3.28-3.29
Br 0.0000 0.7560 0.7500  4 Sr 3.28-3.29
Br 0.5000 0.7440 0.2500  4 Sr 3.28-3.29
Br 0.5000 0.2560 0.7500  4 Sr 3.28-3.29
Sr 0.0000 0.6251 0.2500  4 Br 3.28-3.29
Sr 0.5000 0.8749 0.7500  4 Br 3.28-3.29
Sr 0.5000 0.1251 0.2500  4 Br 3.28-3.29
Sr 0.0000 0.3749 0.7500  4 Br 3.28-3.29

---

Compound: Na6SrBr8
Source: Alexandria via LeMat-Bulk
Functional: PBE-GGA
Structure: optimized geometry

Output
DFT total energy (Ry per atom): -0.235
Magnetic moment (μB/atom): 0.000
Formation energy without anion corrections (kJ per mole of atoms): -160.3

a b c (Å): 8.6187 8.6187 8.6187
angles (deg): 60.00 60.00 60.00
Last column: nearest neighbours and their distance in Å.
Sites, in units of the cell vectors:
Br 0.2485 0.7515 0.2485  1 Sr 3.03, 4 Na 3.05
Br 0.7500 0.7500 0.7500  6 Na 3.05
Br 0.7515 0.2485 0.7515  1 Sr 3.03, 4 Na 3.05
Br 0.7515 0.2485 0.2485  1 Sr 3.03, 4 Na 3.05
Br 0.2485 0.7515 0.7515  1 Sr 3.03, 4 Na 3.05
Br 0.2500 0.2500 0.2500  6 Na 3.05
Br 0.2485 0.2485 0.7515  1 Sr 3.03, 4 Na 3.05
Br 0.7515 0.7515 0.2485  1 Sr 3.03, 4 Na 3.05
Sr 0.0000 0.0000 0.0000  6 Br 3.03
Na 0.5000 0.0000 0.0000  6 Br 3.05
Na 0.0000 0.5000 0.5000  6 Br 3.05
Na 0.0000 0.5000 0.0000  6 Br 3.05
Na 0.5000 0.5000 0.0000  6 Br 3.05
Na 0.0000 0.0000 0.5000  6 Br 3.05
Na 0.5000 0.0000 0.5000  6 Br 3.05